Record 1
Below is a relaxed SmPaCuRh crystal, with properties calculated at the PBE level.

Calculated values
Energy of formation from the pure elements = -0.259 eV/atom
VASP energy = -6.674 eV per atom
Volume = 21.08 Å³ per atom

Structure (POSCAR):
```
SmPaCuRh
1.0
-2.137 -2.137 -3.885
1.981 -4.046 -1.982
-2.251 -4.347 0.512
Pa Rh Cu Sm
1 1 1 1
Direct
0.000 0.000 0.000
0.750 0.750 0.750
0.250 0.250 0.250
0.500 0.500 0.500
```

---

Record 2
Below is a relaxed TmPaCuRh crystal, with properties calculated at the PBE level.

Calculated values
Energy of formation from the pure elements = -0.362 eV/atom
VASP energy = -6.715 eV per atom
Volume = 20.27 Å³ per atom

Structure (POSCAR):
```
TmPaCuRh
1.0
4.858 0.000 0.000
2.429 4.207 0.000
2.429 1.402 3.966
Rh Pa Tm Cu
1 1 1 1
Direct
0.750 0.750 0.750
0.000 0.000 0.000
0.500 0.500 0.500
0.250 0.250 0.250
```

---

Record 3
Below is a relaxed ZrPaCuRh crystal, with properties calculated at the PBE level.

Calculated values
Energy of formation from the pure elements = -0.250 eV/atom
VASP energy = -7.623 eV per atom
Volume = 19.29 Å³ per atom

Structure (POSCAR):
```
ZrPaCuRh
1.0
-3.405 -0.893 -3.232
-2.215 -4.234 -0.029
-4.569 -0.316 1.367
Pa Rh Cu Zr
1 1 1 1
Direct
0.000 0.000 0.000
0.750 0.750 0.750
0.250 0.250 0.250
0.500 0.500 0.500
```

---

Record 4
Below is a relaxed PaCu4Ru crystal, with properties calculated at the PBE level.

Calculated values
Energy of formation from the pure elements = -0.100 eV/atom
VASP energy = -5.959 eV per atom
Volume = 14.49 Å³ per atom

Structure (POSCAR):
```
PaCu4Ru
1.0
4.973 0.000 0.000
2.486 4.306 0.000
2.486 1.435 4.060
Ru Pa Cu
1 1 4
Direct
0.250 0.250 0.250
0.000 0.000 0.000
0.624 0.624 0.128
0.624 0.128 0.624
0.624 0.624 0.624
0.128 0.624 0.624
```

---

Record 5
Below is a relaxed PaCuSbRu crystal, with properties calculated at the PBE level.

Calculated values
VASP energy = -6.947 eV per atom
Volume = 18.98 Å³ per atom
E_form (uncorrected) = -0.1995 eV per atom

Structure (POSCAR):
```
PaCuSbRu
1.0
-4.412 -0.762 -1.593
-0.917 -3.767 -2.750
-2.551 -3.627 1.711
Sb Pa Cu Ru
1 1 1 1
Direct
0.000 0.000 0.000
0.500 0.500 0.500
0.750 0.750 0.750
0.250 0.250 0.250
```

---

Record 6
Below is a relaxed SmPaCuRu crystal, with properties calculated at the PBE level.

Calculated values
Energy of formation from the pure elements = -0.120 eV/atom
VASP energy = -7.017 eV per atom
Volume = 20.79 Å³ per atom

Structure (POSCAR):
```
SmPaCuRu
1.0
-0.435 -4.524 -1.830
3.553 -1.855 -2.819
2.840 -3.614 1.699
Ru Pa Cu Sm
1 1 1 1
Direct
0.000 0.000 0.000
0.250 0.250 0.250
0.500 0.500 0.500
0.750 0.750 0.750
```

---

Record 7
Below is a relaxed TbPaCuRu crystal, with properties calculated at the PBE level.

Calculated values
Energy of formation from the pure elements = -0.182 eV/atom
VASP energy = -7.057 eV per atom
Volume = 20.39 Å³ per atom

Structure (POSCAR):
```
TbPaCuRu
1.0
-4.684 1.063 0.790
-3.479 -2.365 -2.449
-2.864 -3.188 2.309
Ru Pa Tb Cu
1 1 1 1
Direct
0.750 0.750 0.750
0.500 0.500 0.500
0.000 0.000 0.000
0.250 0.250 0.250
```

---

Record 8
Below is a relaxed PaCuTcRu crystal, with properties calculated at the PBE level.

Calculated values
Energy of formation from the pure elements = -0.069 eV/atom
VASP energy = -8.377 eV per atom
Volume = 16.50 Å³ per atom

Structure (POSCAR):
```
PaCuTcRu
1.0
4.536 0.000 0.000
2.268 3.928 0.000
2.268 1.309 3.703
Ru Pa Tc Cu
1 1 1 1
Direct
0.750 0.750 0.750
0.500 0.500 0.500
0.250 0.250 0.250
0.000 0.000 0.000
```

---

Record 9
Below is a relaxed ThPaCuRu crystal, with properties calculated at the PBE level.

Calculated values
Energy of formation from the pure elements = -0.139 eV/atom
VASP energy = -7.711 eV per atom
Volume = 21.30 Å³ per atom

Structure (POSCAR):
```
ThPaCuRu
1.0
-1.501 -2.538 -3.962
-1.082 -4.802 0.407
-4.690 -1.512 -0.333
Ru Pa Cu Th
1 1 1 1
Direct
0.750 0.750 0.750
0.500 0.500 0.500
0.250 0.250 0.250
0.000 0.000 0.000
```

---

Record 10
Below is a relaxed YPaCuRu crystal, with properties calculated at the PBE level.

Calculated values
Energy of formation from the pure elements = -0.180 eV/atom
VASP energy = -7.513 eV per atom
Volume = 20.39 Å³ per atom

Structure (POSCAR):
```
YPaCuRu
1.0
4.868 0.000 0.000
2.434 4.216 0.000
2.434 1.405 3.975
Y Ru Pa Cu
1 1 1 1
Direct
0.500 0.500 0.500
0.250 0.250 0.250
0.000 0.000 0.000
0.750 0.750 0.750
```

---

Record 11
Below is a relaxed PaZnCuRu crystal, with properties calculated at the PBE level.

Calculated values
Energy of formation from the pure elements = -0.089 eV/atom
VASP energy = -6.124 eV per atom
Volume = 17.39 Å³ per atom

Structure (POSCAR):
```
PaZnCuRu
1.0
-3.465 3.024 -0.395
-2.975 0.570 3.483
0.051 3.903 2.464
Ru Zn Pa Cu
1 1 1 1
Direct
0.750 0.750 0.750
0.000 0.000 0.000
0.500 0.500 0.500
0.250 0.250 0.250
```

---

Record 12
Below is a relaxed ZrPaCuRu crystal, with properties calculated at the PBE level.

Calculated values
Energy of formation from the pure elements = -0.173 eV/atom
VASP energy = -8.027 eV per atom
Volume = 19.03 Å³ per atom

Structure (POSCAR):
```
ZrPaCuRu
1.0
4.757 0.000 0.000
2.378 4.120 0.000
2.378 1.373 3.884
Ru Pa Cu Zr
1 1 1 1
Direct
0.750 0.750 0.750
0.500 0.500 0.500
0.250 0.250 0.250
0.000 0.000 0.000
```

---

- The highest VASP energy belongs to which entry?
  PaCu4Ru

---

- volume of number 8 (PaCuTcRu)?
  16.50 Å³ per atom